1.
Below is a geometry-optimized Ge2TeSe structure, with properties calculated at the PBE level.

## Properties
E	-4.10	eV per atom
calculated volume	210.1	Å³ per cell
energy above the most stable polymorph in this dataset	0.00	kJ/mol of atoms
spin magnetization	0.000	μB/f.u.
SG	Pmc2_1
formation energy (no corrections)	-0.5	eV per formula unit

Lattice parameters (Å, degrees): 4.1133 4.2472 12.0247 90.00 90.00 90.00
Positions (direct):
Ge  0.0000  0.0347  0.0000
Ge  0.0000  0.9653  0.5000
Ge  0.5000  0.4391  0.7654
Ge  0.5000  0.5609  0.2654
Te  0.5000  0.4472  0.5304
Te  0.5000  0.5528  0.0304
Se  0.0000  0.0283  0.7838
Se  0.0000  0.9717  0.2838

---

2.
Below is a geometry-optimized Tb3Ho5Th2 structure, with properties calculated at the PBE level.

## Properties
E	-4.95	eV per atom
E_form	0.217	eV per atom
calculated volume	650.7	Å³ per cell
spin magnetization	0.000	μB/f.u.
SG	C2/c

Lattice parameters (Å, degrees): 9.9955 9.9955 8.9699 108.51 108.51 115.45
Positions (direct):
Tb  0.0217  0.2700  0.0413
Tb  0.2199  0.7801  0.7500
Tb  0.2700  0.0217  0.5413
Tb  0.7300  0.9783  0.4587
Tb  0.7801  0.2199  0.2500
Tb  0.9783  0.7300  0.9587
Ho  0.0291  0.9709  0.7500
Ho  0.1264  0.3696  0.7505
Ho  0.2782  0.7218  0.2500
Ho  0.3696  0.1264  0.2505
Ho  0.4681  0.5319  0.2500
Ho  0.5319  0.4681  0.7500
Ho  0.6304  0.8736  0.7495
Ho  0.7218  0.2782  0.7500
Ho  0.8736  0.6304  0.2495
Ho  0.9709  0.0291  0.2500
Th  0.2389  0.4868  0.4756
Th  0.4868  0.2389  0.9756
Th  0.5132  0.7611  0.0244
Th  0.7611  0.5132  0.5244

---

3.
Below is a geometry-optimized CsYC structure, with properties calculated at the PBE level.

## Properties
E	-5.31	eV per atom
E_form	0.204	eV per atom
calculated volume	284.6	Å³ per cell
energy above the most stable polymorph in this dataset	14.99	kJ/mol of atoms
spin magnetization	0.448	μB/f.u.
SG	P1

Lattice parameters (Å, degrees): 4.3269 5.3991 12.6369 77.91 80.60 90.00
Positions (direct):
Cs  0.0000  0.0000  0.0000
Cs  0.2852  0.2885  0.3964
Y  0.1563  0.6553  0.6673
Y  0.6522  0.1509  0.6761
C  0.6971  0.5726  0.5817
C  0.6971  0.8218  0.5817

---

4.
Below is a geometry-optimized KSr2LiBr6 structure, with properties calculated at the PBE level.

## Properties
E	-3.54	eV per atom
calculated volume	357.5	Å³ per cell
spin magnetization	0.000	μB/f.u.
SG	R3
formation energy (no corrections)	-19.0	eV per formula unit

Lattice parameters (Å, degrees): 8.2312 8.2312 8.2312 55.97 55.97 55.97
Positions (direct):
K  0.0000  0.0000  0.0000
Sr  0.2895  0.2895  0.2895
Sr  0.7995  0.7995  0.7995
Li  0.4825  0.4825  0.4825
Br  0.1004  0.6669  0.4200
Br  0.2209  0.5746  0.8697
Br  0.4200  0.1004  0.6669
Br  0.5746  0.8697  0.2209
Br  0.6669  0.4200  0.1004
Br  0.8697  0.2209  0.5746